#A
This record from the Alexandria database describes a relaxed ZrMnOs crystal. The functional is PBE-GGA.

Cell: 4.3999 4.3999 4.3999 Å, 60.00 60.00 60.00°
Closest atoms and distances in Å follow each position.
Sites, in units of the cell vectors:
Zr 0.0000 0.0000 0.0000  4 Os 2.69
Mn 0.5000 0.5000 0.5000  4 Os 2.69
Os 0.2500 0.2500 0.2500  4 Zr 2.69, 4 Mn 2.69

Computed properties:
Its density is 9.3 g cm⁻³. Its space-group type is No. 216. The calculation puts the volume at 60.2 Å³/cell.


#B
This record from the Alexandria database describes a relaxed ZrMnOs crystal. The functional is PBE-GGA.

Cell: 4.3778 4.3778 4.3778 Å, 60.00 60.00 60.00°
Closest atoms and distances in Å follow each position.
Sites, in units of the cell vectors:
Zr 0.0000 0.0000 0.0000  4 Os 2.68, 4 Mn 2.68
Mn 0.2500 0.2500 0.2500  4 Zr 2.68
Os 0.7500 0.7500 0.7500  4 Zr 2.68

Computed properties:
Its density is 9.4 g cm⁻³. Its space-group type is No. 216. The calculation puts the volume at 59.3 Å³/cell.


#C
This record from the Alexandria database describes a relaxed ZrMnOs crystal. The functional is PBE-GGA.

Cell: 2.8675 2.8675 6.8714 Å, 90.00 90.00 120.00°
Closest atoms and distances in Å follow each position.
Sites, in units of the cell vectors:
Zr 0.0000 0.0000 0.0000  6 Zr 2.87, 3 Mn 2.94, 3 Os 3.00
Mn 0.6667 0.3333 0.3530  3 Os 2.55
Os 0.3333 0.6667 0.6352  3 Mn 2.55

Computed properties:
Its density is 11.4 g cm⁻³. Its space-group type is No. 156. The calculation puts the volume at 48.9 Å³/cell.


#D
This record from the Alexandria database describes a relaxed ZrMnOs crystal. The functional is PBE-GGA.

Cell: 5.1400 5.1400 5.1400 Å, 120.66 118.74 90.53°
Closest atoms and distances in Å follow each position.
Sites, in units of the cell vectors:
Zr 0.3760 0.1260 0.2500  6 Os 3.00-3.01, 6 Mn 3.00-3.05, 4 Zr 3.11-3.19
Zr 0.6240 0.8740 0.7500  6 Os 3.00-3.01, 6 Mn 3.00-3.05, 4 Zr 3.11-3.19
Mn 0.0000 0.0000 0.5000  2 Mn 2.54, 4 Os 2.57
Mn 0.0000 0.5000 0.0000  2 Mn 2.54, 4 Os 2.57
Os 0.0000 0.5000 0.5000  4 Mn 2.57, 2 Os 2.62
Os 0.5000 0.5000 0.0000  4 Mn 2.57, 2 Os 2.62

Computed properties:
Its density is 11.6 g cm⁻³. Its space-group type is No. 74. The calculation puts the volume at 96.4 Å³/cell.


Result of the stability comparison: #D is the most stable of them.


#A
This record from the Alexandria database describes a relaxed ZrMnOs crystal. The functional is PBE-GGA.

Cell: 6.9766 6.9766 4.4995 Å, 90.00 90.00 153.04°
Closest atoms and distances in Å follow each position.
Sites, in units of the cell vectors:
Zr 0.0884 0.9116 0.7500  6 Os 2.78-2.88, 4 Mn 2.87-3.02
Zr 0.9116 0.0884 0.2500  6 Os 2.78-2.88, 4 Mn 2.87-3.02
Mn 0.2373 0.7627 0.2500  2 Os 2.61, 4 Mn 2.80, 2 Zr 2.87
Mn 0.7627 0.2373 0.7500  2 Os 2.61, 4 Mn 2.80, 2 Zr 2.87
Os 0.4136 0.5864 0.7500  2 Mn 2.61, 6 Zr 2.78-2.88
Os 0.5864 0.4136 0.2500  2 Mn 2.61, 6 Zr 2.78-2.88

Computed properties:
Its density is 11.3 g cm⁻³. Its space-group type is No. 63. The calculation puts the volume at 99.3 Å³/cell.


#B
This record from the Alexandria database describes a relaxed ZrMnOs crystal. The functional is PBE-GGA.

Cell: 6.0046 6.0046 6.0046 Å, 151.99 151.99 40.03°
Closest atoms and distances in Å follow each position.
Sites, in units of the cell vectors:
Zr 0.0000 0.0000 0.0000  4 Zr 2.91, 4 Mn 2.92, 4 Os 3.00
Mn 0.3161 0.3161 0.0000  4 Os 2.48
Os 0.6935 0.6935 0.0000  4 Mn 2.48

Computed properties:
Its density is 11.7 g cm⁻³. Its space-group type is No. 107. The calculation puts the volume at 47.7 Å³/cell.


Result of the stability comparison: #A is the most stable of them.


#A
This record from the Alexandria database describes a relaxed MnP5 crystal. The functional is PBE-GGA.

Cell: 4.3989 4.3989 7.9024 Å, 90.00 90.00 120.00°
Closest atoms and distances in Å follow each position.
Sites, in units of the cell vectors:
Mn 0.0000 0.0000 0.0000  6 P 2.54
P 0.0000 0.5000 0.5000  4 P 2.20
P 0.3333 0.6667 0.0000  3 Mn 2.54, 3 P 2.54
P 0.5000 0.0000 0.5000  4 P 2.20
P 0.5000 0.5000 0.5000  4 P 2.20
P 0.6667 0.3333 0.0000  3 Mn 2.54, 3 P 2.54

Computed properties:
Its density is 2.6 g cm⁻³. Its space-group type is No. 191. The calculation puts the volume at 132.4 Å³/cell.


#B
This record from the Alexandria database describes a relaxed MnP5 crystal. The functional is PBE-GGA.

Cell: 4.6480 4.6480 4.6968 Å, 90.00 90.00 120.00°
Closest atoms and distances in Å follow each position.
Sites, in units of the cell vectors:
Mn 0.0000 0.0000 0.0000  12 P 2.68
P 0.0000 0.7229 0.5000  2 P 2.23
P 0.2771 0.2771 0.5000  2 P 2.23
P 0.3333 0.6667 0.0000  3 Mn 2.68, 9 P 2.68-2.90
P 0.6667 0.3333 0.0000  3 Mn 2.68, 9 P 2.68-2.90
P 0.7229 0.0000 0.5000  2 P 2.23

Computed properties:
Its density is 4.0 g cm⁻³. Its space-group type is No. 189. The calculation puts the volume at 87.9 Å³/cell.


Result of the stability comparison: #B is the most stable of them.


#A
This record from the Alexandria database describes a relaxed Mn4P3 crystal. The functional is PBE-GGA.

Cell: 4.8127 4.8127 4.7017 Å, 90.00 90.00 120.00°
Closest atoms and distances in Å follow each position.
Sites, in units of the cell vectors:
Mn 0.0000 0.0000 0.2447  2 Mn 2.30-2.40
Mn 0.0000 0.0000 0.7553  2 Mn 2.30-2.40
Mn 0.3333 0.6667 0.0000  6 P 2.73, 9 Mn 2.78-3.01
Mn 0.6667 0.3333 0.0000  6 P 2.73, 9 Mn 2.78-3.01
P 0.0000 0.5000 0.5000  4 P 2.41, 4 Mn 2.69
P 0.5000 0.0000 0.5000  4 P 2.41, 4 Mn 2.69
P 0.5000 0.5000 0.5000  4 P 2.41, 4 Mn 2.69

Computed properties:
Its density is 5.5 g cm⁻³. Its space-group type is No. 191. The calculation puts the volume at 94.3 Å³/cell.


#B
This record from the Alexandria database describes a relaxed Mn4P3 crystal. The functional is PBE-GGA.

Cell: 8.9740 8.9740 8.9740 Å, 160.02 160.02 28.40°
Closest atoms and distances in Å follow each position.
Sites, in units of the cell vectors:
Mn 0.0686 0.0686 0.0000  5 P 2.37-2.50, 1 Mn 2.39
Mn 0.3422 0.3422 0.0000  5 P 2.35-2.39
Mn 0.6578 0.6578 0.0000  5 P 2.35-2.39
Mn 0.9314 0.9314 0.0000  5 P 2.37-2.50, 1 Mn 2.39
P 0.2050 0.2050 0.0000  6 Mn 2.35-2.39
P 0.5000 0.5000 0.0000  10 Mn 2.50-2.75
P 0.7950 0.7950 0.0000  6 Mn 2.35-2.39

Computed properties:
Its density is 6.2 g cm⁻³. Its space-group type is No. 139. The calculation puts the volume at 84.3 Å³/cell.


Result of the stability comparison: #B is the most stable of them.


#A
This record from the Alexandria database describes a relaxed Mn5P3 crystal. The functional is PBE-GGA.

Cell: 8.9559 6.9592 5.8723 Å, 90.00 90.00 90.00°
Closest atoms and distances in Å follow each position.
Sites, in units of the cell vectors:
Mn 0.0204 0.2500 0.0355  5 P 2.22-2.44
Mn 0.0903 0.0419 0.6832  4 P 2.25-2.36
Mn 0.0903 0.4581 0.6832  4 P 2.25-2.36
Mn 0.1887 0.7500 0.3377  3 P 2.21-2.34
Mn 0.2453 0.2500 0.3294  5 P 2.28-2.48
Mn 0.2547 0.7500 0.8294  5 P 2.28-2.48
Mn 0.3113 0.2500 0.8377  3 P 2.21-2.34
Mn 0.4097 0.5419 0.1832  4 P 2.25-2.36
Mn 0.4097 0.9581 0.1832  4 P 2.25-2.36
Mn 0.4796 0.7500 0.5355  5 P 2.22-2.44
Mn 0.5204 0.2500 0.4645  5 P 2.22-2.44
Mn 0.5903 0.0419 0.8168  4 P 2.25-2.36
Mn 0.5903 0.4581 0.8168  4 P 2.25-2.36
Mn 0.6887 0.7500 0.1623  3 P 2.21-2.34
Mn 0.7453 0.2500 0.1706  5 P 2.28-2.48
Mn 0.7547 0.7500 0.6706  5 P 2.28-2.48
Mn 0.8113 0.2500 0.6623  3 P 2.21-2.34
Mn 0.9097 0.5419 0.3168  4 P 2.25-2.36
Mn 0.9097 0.9581 0.3168  4 P 2.25-2.36
Mn 0.9796 0.7500 0.9645  5 P 2.22-2.44
P 0.0031 0.7500 0.5857  7 Mn 2.21-2.30
P 0.1657 0.5078 0.0632  7 Mn 2.22-2.48
P 0.1657 0.9922 0.0632  7 Mn 2.22-2.48
P 0.3343 0.0078 0.5632  7 Mn 2.22-2.48
P 0.3343 0.4922 0.5632  7 Mn 2.22-2.48
P 0.4970 0.2500 0.0857  7 Mn 2.21-2.30
P 0.5030 0.7500 0.9143  7 Mn 2.21-2.30
P 0.6657 0.5078 0.4368  7 Mn 2.22-2.48
P 0.6657 0.9922 0.4368  7 Mn 2.22-2.48
P 0.8343 0.0078 0.9368  7 Mn 2.22-2.48
P 0.8343 0.4922 0.9368  7 Mn 2.22-2.48
P 0.9970 0.2500 0.4143  7 Mn 2.21-2.30

Computed properties:
Its density is 6.7 g cm⁻³. Its space-group type is No. 62. The calculation puts the volume at 366.0 Å³/cell.


#B
This record from the Alexandria database describes a relaxed Mn5P3 crystal. The functional is PBE-GGA.

Cell: 6.5585 6.5585 6.5585 Å, 98.93 98.93 133.60°
Closest atoms and distances in Å follow each position.
Sites, in units of the cell vectors:
Mn 0.0000 0.5000 0.5000  4 P 2.32-2.37, 2 Mn 2.58
Mn 0.0852 0.3694 0.1427  5 P 2.29-2.44
Mn 0.2267 0.9425 0.8573  5 P 2.29-2.44
Mn 0.3694 0.2267 0.2842  5 P 2.29-2.44
Mn 0.4425 0.7267 0.8573  5 P 2.29-2.44
Mn 0.5000 0.0000 0.5000  4 P 2.32-2.37, 2 Mn 2.58
Mn 0.5852 0.4425 0.7158  5 P 2.29-2.44
Mn 0.7267 0.8694 0.2842  5 P 2.29-2.44
Mn 0.8694 0.5852 0.1427  5 P 2.29-2.44
Mn 0.9425 0.0852 0.7158  5 P 2.29-2.44
P 0.0970 0.9216 0.5000  8 Mn 2.31-2.44
P 0.4147 0.4147 0.0000  8 Mn 2.29-2.34
P 0.4216 0.5970 0.5000  8 Mn 2.31-2.44
P 0.5970 0.0970 0.1754  8 Mn 2.31-2.44
P 0.9147 0.9147 0.0000  8 Mn 2.29-2.34
P 0.9216 0.4216 0.8246  8 Mn 2.31-2.44

Computed properties:
Its density is 6.5 g cm⁻³. Its space-group type is No. 108. The calculation puts the volume at 187.8 Å³/cell.


Result of the stability comparison: #A is the most stable of them.